(1)
PBE La4Pr2Tm5, optimized geometry; energy relative to the elements = 93 meV/atom; space-group type = C2/m (12); total DFT energy (no corrections) = -4.600 eV per atom; offset from the most stable computed form = 0 meV/atom
1.0
9.6590 -2.8728 0.0000
9.6590 2.8728 0.0000
-0.0562 0.0000 6.7277
La Pr Tm
4 2 5
direct
0.0226 0.0226 0.2869 La
0.3065 0.3065 0.9169 La
0.6935 0.6935 0.0831 La
0.9774 0.9774 0.7131 La
0.3992 0.3992 0.4403 Pr
0.6008 0.6008 0.5597 Pr
0.1312 0.1312 0.8816 Tm
0.2107 0.2107 0.4020 Tm
0.5000 0.5000 0.0000 Tm
0.7893 0.7893 0.5980 Tm
0.8688 0.8688 0.1184 Tm

=====

(2)
PBE La3Pr12Tm, optimized geometry; energy relative to the elements = 12 meV/atom; space-group type = P4/mmm (123); total DFT energy (no corrections) = -4.776 eV per atom
1.0
5.2438 0.0000 0.0000
0.0000 5.2438 0.0000
0.0000 0.0000 20.9420
La Pr Tm
3 12 1
direct
0.0000 0.0000 0.0000 La
0.0000 0.0000 0.2518 La
0.0000 0.0000 0.7482 La
0.0000 0.5000 0.1258 Pr
0.0000 0.5000 0.3782 Pr
0.0000 0.5000 0.6218 Pr
0.0000 0.5000 0.8742 Pr
0.5000 0.0000 0.1258 Pr
0.5000 0.0000 0.3782 Pr
0.5000 0.0000 0.6218 Pr
0.5000 0.0000 0.8742 Pr
0.5000 0.5000 0.0000 Pr
0.5000 0.5000 0.2527 Pr
0.5000 0.5000 0.5000 Pr
0.5000 0.5000 0.7473 Pr
0.0000 0.0000 0.5000 Tm

=====

(3)
PBE La8Pr3Tm, optimized geometry; energy relative to the elements = 480 meV/atom; space-group type = I-42m (121); total DFT energy (no corrections) = -4.372 eV per atom
1.0
-4.4827 4.4827 5.8820
4.4827 -4.4827 5.8820
4.4827 4.4827 -5.8820
La Pr Tm
8 3 1
direct
0.1286 0.1286 0.7566 La
0.2462 0.7456 0.0000 La
0.2544 0.2544 0.5007 La
0.3720 0.3720 0.2434 La
0.6280 0.8714 0.0000 La
0.7456 0.2462 0.0000 La
0.7538 0.7538 0.4993 La
0.8714 0.6280 0.0000 La
0.0000 0.0000 0.0000 Pr
0.2500 0.7500 0.5000 Pr
0.7500 0.2500 0.5000 Pr
0.5000 0.5000 0.0000 Tm

=====

(4)
PBE La3Pr5Tm3, optimized geometry; energy relative to the elements = 306 meV/atom; space-group type = P-62m (189); total DFT energy (no corrections) = -4.430 eV per atom
1.0
11.5181 0.0000 0.0000
-5.7591 9.9750 0.0000
0.0000 0.0000 3.4661
La Pr Tm
3 5 3
direct
0.0000 0.5988 0.0000 La
0.4012 0.4012 0.0000 La
0.5988 0.0000 0.0000 La
0.0000 0.3346 0.5000 Pr
0.3333 0.6667 0.5000 Pr
0.3346 0.0000 0.5000 Pr
0.6654 0.6654 0.5000 Pr
0.6667 0.3333 0.5000 Pr
0.0000 0.8427 0.5000 Tm
0.1573 0.1573 0.5000 Tm
0.8427 0.0000 0.5000 Tm

=====

(5)
PBE La3Pr4Tm5, optimized geometry; energy relative to the elements = 224 meV/atom; space-group type = C2/m (12); total DFT energy (no corrections) = -4.464 eV per atom
1.0
8.0913 -3.0271 0.0000
8.0913 3.0271 0.0000
-4.3479 0.0000 8.4805
La Pr Tm
3 4 5
direct
0.0000 0.0000 0.0000 La
0.2844 0.2844 0.7560 La
0.7156 0.7156 0.2440 La
0.2914 0.2914 0.1127 Pr
0.4131 0.4131 0.5491 Pr
0.5869 0.5869 0.4509 Pr
0.7086 0.7086 0.8873 Pr
0.0680 0.0680 0.6984 Tm
0.1690 0.1690 0.3775 Tm
0.5000 0.5000 0.0000 Tm
0.8310 0.8310 0.6225 Tm
0.9320 0.9320 0.3016 Tm

=====

(6)
PBE La2Pr5Tm2, optimized geometry; energy relative to the elements = 195 meV/atom; space-group type = Ima2 (46); total DFT energy (no corrections) = -4.549 eV per atom; offset from the most stable computed form = 177 meV/atom
1.0
-7.5785 6.0338 3.4815
7.5785 -6.0338 3.4815
7.5785 6.0338 -3.4815
La Pr Tm
4 10 4
direct
0.0033 0.1256 0.1289 La
0.0033 0.3744 0.3776 La
0.9967 0.6256 0.6224 La
0.9967 0.8744 0.8711 La
0.0989 0.4028 0.8027 Pr
0.0989 0.7962 0.1961 Pr
0.3906 0.8980 0.9926 Pr
0.4489 0.3261 0.4088 Pr
0.4489 0.5401 0.6228 Pr
0.6001 0.2962 0.1973 Pr
0.6001 0.9028 0.8039 Pr
0.9053 0.3980 0.0074 Pr
0.9173 0.0401 0.5912 Pr
0.9173 0.8261 0.3772 Pr
0.4502 0.2090 0.7413 Tm
0.4677 0.7090 0.2587 Tm
0.5284 0.0284 0.5000 Tm
0.5284 0.5284 0.0000 Tm

=====

(7)
PBE LaPr4Tm, optimized geometry; energy relative to the elements = 20 meV/atom; space-group type = Cmmm (65); total DFT energy (no corrections) = -4.733 eV per atom; offset from the most stable computed form = 0 meV/atom
1.0
2.6101 -7.8723 0.0000
2.6101 7.8723 0.0000
0.0000 0.0000 5.1754
La Pr Tm
1 4 1
direct
0.0000 0.0000 0.0000 La
0.1657 0.8343 0.5000 Pr
0.3345 0.6655 0.0000 Pr
0.6655 0.3345 0.0000 Pr
0.8343 0.1657 0.5000 Pr
0.5000 0.5000 0.5000 Tm

=====

(8)
PBE La5Pr5Tm2, optimized geometry; energy relative to the elements = 20 meV/atom; space-group type = C2/m (12); total DFT energy (no corrections) = -4.770 eV per atom
1.0
7.8800 -2.6003 0.0000
7.8800 2.6003 0.0000
-5.2560 0.0000 10.3983
La Pr Tm
5 5 2
direct
0.0000 0.0000 0.0000 La
0.0809 0.0809 0.7490 La
0.1669 0.1669 0.5005 La
0.8331 0.8331 0.4995 La
0.9191 0.9191 0.2510 La
0.2471 0.2471 0.2484 Pr
0.3346 0.3346 0.0004 Pr
0.5000 0.5000 0.5000 Pr
0.6654 0.6654 0.9996 Pr
0.7529 0.7529 0.7516 Pr
0.4161 0.4161 0.7499 Tm
0.5839 0.5839 0.2501 Tm

=====

(9)
PBE La7Pr2Tm, optimized geometry; energy relative to the elements = 548 meV/atom; space-group type = Cmmm (65); total DFT energy (no corrections) = -4.304 eV per atom; offset from the most stable computed form = 408 meV/atom
1.0
4.4915 -8.2079 0.0000
4.4915 8.2079 0.0000
0.0000 0.0000 5.6163
La Pr Tm
7 2 1
direct
0.0000 0.0000 0.0000 La
0.2014 0.4253 0.0000 La
0.2618 0.7382 0.5000 La
0.4253 0.2014 0.0000 La
0.5747 0.7986 0.0000 La
0.7382 0.2618 0.5000 La
0.7986 0.5747 0.0000 La
0.2009 0.7991 0.0000 Pr
0.7991 0.2009 0.0000 Pr
0.5000 0.5000 0.5000 Tm

=====

(10)
PBE La3Pr9Tm2, optimized geometry; energy relative to the elements = 61 meV/atom; space-group type = P1 (1); total DFT energy (no corrections) = -4.706 eV per atom
1.0
6.2622 0.0000 0.0000
-0.3139 7.0814 0.0000
-2.5183 -3.4386 11.2963
La Pr Tm
3 9 2
direct
0.0000 0.0000 0.0000 La
0.1840 0.8741 0.5695 La
0.7612 0.1673 0.4206 La
0.0804 0.4723 0.2717 Pr
0.1815 0.9888 0.2966 Pr
0.3046 0.3031 0.8539 Pr
0.3230 0.3884 0.5693 Pr
0.5079 0.7300 0.1311 Pr
0.6249 0.6584 0.4207 Pr
0.7456 0.0837 0.7082 Pr
0.8713 0.4883 0.9799 Pr
0.8882 0.5964 0.7106 Pr
0.4487 0.8094 0.8503 Tm
0.5418 0.2324 0.1345 Tm